Entry 1:
Material: Dy3HfAs4
Method: DFT, PBE-GGA
State: relaxed

Cell and atoms, written as POSCAR:
```
Dy3HfAs4
1.0
4.0316 0.0000 0.0000
0.0000 6.6135 -2.2547
0.0000 -0.0547 6.9871
As Dy Hf
4 3 1
direct
0.0000 0.7625 0.7625
0.5000 0.2433 0.7567
0.0000 0.2375 0.2375
0.5000 0.7567 0.2433
0.0000 0.5000 0.0000
0.0000 0.0000 0.5000
0.5000 0.5000 0.5000
0.5000 0.0000 0.0000
```

Formation energy from the elements in meV/atom: -1400
Total energy in eV/atom: -6.695
Spin magnetization in μB per formula unit: 0.000
DOS(E_F) in states/eV per cell: 1.37


Entry 2:
Material: Ni12GeSb3
Method: DFT, PBE-GGA
State: relaxed

Cell and atoms, written as POSCAR:
```
Ni12GeSb3
1.0
-2.9676 2.1658 -0.4636
-2.1720 -2.9975 -0.0998
-1.7227 0.7627 14.5892
Ni Sb Ge
12 3 1
direct
0.5000 0.0000 0.3724
0.5000 0.5000 0.2449
0.5000 0.5000 0.0000
0.0000 0.5000 0.6276
0.5000 0.0000 0.8835
0.5000 0.0000 0.1165
0.0000 0.5000 0.1165
0.5000 0.5000 0.5000
0.0000 0.5000 0.8835
0.5000 0.5000 0.7551
0.0000 0.5000 0.3724
0.5000 0.0000 0.6276
0.0000 0.0000 0.5000
0.0000 0.0000 0.7557
0.0000 0.0000 0.2443
0.0000 0.0000 0.0000
```

Total energy in eV/atom: -5.570
Spin magnetization in μB per formula unit: 0.000
DOS(E_F) in states/eV per cell: 10.53


Entry 3:
Material: V3Ni20B6
Method: DFT, PBE-GGA
State: relaxed

Cell and atoms, written as POSCAR:
```
V3Ni20B6
1.0
-0.1899 -7.3779 -0.5812
4.0751 -4.1780 4.5547
-3.2937 -4.0435 5.2545
Ni B V
20 6 3
direct
0.0000 0.3401 0.6599
0.3818 0.3818 0.8545
0.3401 0.0000 0.6599
0.6599 0.0000 0.0000
0.6599 0.0000 0.3401
0.0000 0.3401 0.0000
0.8545 0.3818 0.3818
0.6182 0.6182 0.1455
0.0000 0.6599 0.3401
0.3401 0.0000 0.0000
0.6599 0.3401 0.0000
0.3401 0.6599 0.0000
0.3818 0.8545 0.3818
0.6182 0.6182 0.6182
0.3818 0.3818 0.3818
0.6182 0.1455 0.6182
0.0000 0.0000 0.3401
0.0000 0.0000 0.6599
0.1455 0.6182 0.6182
0.0000 0.6599 0.0000
0.2686 0.7314 0.7314
0.7314 0.7314 0.2686
0.2686 0.7314 0.2686
0.7314 0.2686 0.7314
0.7314 0.2686 0.2686
0.2686 0.2686 0.7314
0.0000 0.0000 0.0000
0.2500 0.2500 0.2500
0.7500 0.7500 0.7500
```

Formation energy from the elements in meV/atom: -313
Total energy in eV/atom: -6.625
Spin magnetization in μB per formula unit: 0.000
DOS(E_F) in states/eV per cell: 24.37


Entry 4:
Material: Eu2AlI
Method: DFT, PBE-GGA
State: relaxed

Cell and atoms, written as POSCAR:
```
Eu2AlI
1.0
3.8227 0.0000 0.0000
0.0000 3.8227 0.0000
0.0000 0.0000 8.5899
Eu I Al
2 1 1
direct
0.0000 0.0000 0.7763
0.0000 0.0000 0.2237
0.5000 0.5000 0.5000
0.5000 0.5000 0.0000
```

Total energy in eV/atom: -7.096
Spin magnetization in μB per formula unit: 14.332
DOS(E_F) in states/eV per cell: 12.13


Entry 5:
Material: PrSi7Ru3
Method: DFT, PBE-GGA
State: relaxed

Cell and atoms, written as POSCAR:
```
PrSi7Ru3
1.0
-3.3060 6.9167 0.4588
-7.6014 0.5683 0.9364
-2.8167 2.4434 7.1451
Ru Si Pr
6 14 2
direct
0.2500 0.5778 0.2500
0.0778 0.7500 0.7500
0.4222 0.0778 0.7500
0.5778 0.9222 0.2500
0.9222 0.2500 0.2500
0.7500 0.4222 0.7500
0.8305 0.6468 0.0818
0.1695 0.3532 0.9182
0.3305 0.9409 0.5818
0.3532 0.5591 0.9182
0.1468 0.3305 0.5818
0.6468 0.4409 0.0818
0.6695 0.0591 0.4182
0.2500 0.2500 0.2500
0.5591 0.1695 0.9182
0.0591 0.8532 0.4182
0.8532 0.6695 0.4182
0.4409 0.8305 0.0818
0.9409 0.1468 0.5818
0.7500 0.7500 0.7500
0.5000 0.5000 0.5000
0.0000 0.0000 0.0000
```

Total energy in eV/atom: -6.929
Spin magnetization in μB per formula unit: 0.000
DOS(E_F) in states/eV per cell: 9.74


Entry 6:
Material: CeGdScOs
Method: DFT, PBE-GGA
State: relaxed

Cell and atoms, written as POSCAR:
```
CeGdScOs
1.0
5.0502 0.0000 0.0000
2.5251 4.3736 0.0000
2.5251 1.4579 4.1235
Ce Sc Os Gd
1 1 1 1
direct
0.2500 0.2500 0.2500
0.0000 0.0000 0.0000
0.5000 0.5000 0.5000
0.7500 0.7500 0.7500
```

Formation energy from the elements in meV/atom: 56
Total energy in eV/atom: -9.338
Spin magnetization in μB per formula unit: 7.764
DOS(E_F) in states/eV per cell: 7.07


Entry 7:
Material: Ce3TmAl8
Method: DFT, PBE-GGA
State: relaxed

Cell and atoms, written as POSCAR:
```
Ce3TmAl8
1.0
5.5958 0.0000 0.0000
2.7979 4.8461 0.0000
2.7979 1.6154 9.1269
Al Ce Tm
8 3 1
direct
0.1877 0.1877 0.4368
0.9354 0.4372 0.1903
0.9382 0.4391 0.6845
0.4372 0.4372 0.1903
0.9382 0.9382 0.6845
0.4391 0.9382 0.6845
0.4372 0.9354 0.1903
0.6870 0.6870 0.9391
0.4985 0.4985 0.5044
0.0015 0.0015 0.9955
0.3748 0.3748 0.8754
0.8752 0.8752 0.3745
```

Formation energy from the elements in meV/atom: -462
Polymorph energy (0 for the lowest one) in eV/f.u.: 0.000
Total energy in eV/atom: -4.813
Spin magnetization in μB per formula unit: 2.350
DOS(E_F) in states/eV per cell: 17.69


Entry 8:
Material: LiCaPm
Method: DFT, PBE-GGA
State: relaxed

Cell and atoms, written as POSCAR:
```
LiCaPm
1.0
-2.4249 -2.4680 1.1239
3.3010 -1.0628 -1.0992
2.9316 0.7835 8.0461
Pm Li Ca
1 1 1
direct
0.0000 0.0000 0.0158
0.6667 0.3333 0.3283
0.3333 0.6667 0.6560
```

Formation energy from the elements in meV/atom: 135
Polymorph energy (0 for the lowest one) in eV/f.u.: 0.277
Total energy in eV/atom: -2.754
Spin magnetization in μB per formula unit: 0.000
DOS(E_F) in states/eV per cell: 3.34


Entry 9:
Material: CoH3Se
Method: DFT, PBE-GGA
State: relaxed

Cell and atoms, written as POSCAR:
```
CoH3Se
1.0
-1.1490 -2.8140 1.5591
2.4095 -1.8498 -1.5629
2.1317 0.5740 2.6070
H Se Co
3 1 1
direct
0.0000 0.0000 0.5000
0.0000 0.5000 0.0000
0.5000 0.0000 0.0000
0.5000 0.5000 0.5000
0.0000 0.0000 0.0000
```

Polymorph energy (0 for the lowest one) in eV/f.u.: 0.000
Total energy in eV/atom: -3.504
Spin magnetization in μB per formula unit: 0.791
DOS(E_F) in states/eV per cell: 3.03


Entry 10:
Material: NbPbO4
Method: DFT, PBE-GGA
State: relaxed

Cell and atoms, written as POSCAR:
```
NbPbO4
1.0
5.1339 0.0000 0.0000
0.0000 5.8542 0.1544
0.0000 -2.1814 5.6135
O Pb Nb
8 2 2
direct
0.6494 0.6101 0.3223
0.1494 0.8899 0.6777
0.7892 0.6880 0.8899
0.2892 0.8120 0.1101
0.8506 0.1101 0.3223
0.2108 0.3120 0.1101
0.7108 0.1880 0.8899
0.3506 0.3899 0.6777
0.0000 0.5000 0.5000
0.5000 0.0000 0.5000
0.5000 0.5000 0.0000
0.0000 0.0000 0.0000
```

Total energy in eV/atom: -7.420
Spin magnetization in μB per formula unit: 0.000
DOS(E_F) in states/eV per cell: 3.61


Entry 11:
Material: BaSrAu
Method: DFT, PBE-GGA
State: relaxed

Cell and atoms, written as POSCAR:
```
BaSrAu
1.0
4.6275 -0.3882 -0.5964
0.6922 8.0680 0.0735
-1.0491 4.0253 7.6620
Au Ba Sr
2 2 2
direct
0.2498 0.7568 0.4999
0.7502 0.2432 0.5001
0.6275 0.7016 0.2560
0.3725 0.2984 0.7440
0.1362 0.1981 0.2726
0.8638 0.8019 0.7274
```

Formation energy from the elements in meV/atom: -516
Polymorph energy (0 for the lowest one) in eV/f.u.: 0.000
Total energy in eV/atom: -2.810
Spin magnetization in μB per formula unit: 0.000
DOS(E_F) in states/eV per cell: 4.89


Entry 12:
Material: LaNd2Y4Mg
Method: DFT, PBE-GGA
State: relaxed

Cell and atoms, written as POSCAR:
```
LaNd2Y4Mg
1.0
-0.9677 -1.6104 -4.6705
7.3839 -8.6859 1.4648
-1.9415 -4.2613 1.8715
La Y Nd Mg
1 4 2 1
direct
0.5000 0.5000 0.0000
0.0000 0.7486 0.7513
0.5000 0.2512 0.7490
0.0000 0.2514 0.2487
0.5000 0.7488 0.2510
0.5000 0.0000 0.5000
0.0000 0.0000 0.0000
0.0000 0.5000 0.5000
```

Formation energy from the elements in meV/atom: 30
Total energy in eV/atom: -5.209
Spin magnetization in μB per formula unit: 0.042
DOS(E_F) in states/eV per cell: 12.45


Entry 13:
Material: Tl2GaAgF6
Method: DFT, PBE-GGA
State: relaxed

Cell and atoms, written as POSCAR:
```
Tl2GaAgF6
1.0
-2.4657 -1.7631 -5.4111
-5.9185 -1.8363 -0.2594
-4.2357 3.5712 -2.7881
F Tl Ag Ga
6 2 1 1
direct
0.2202 0.2202 0.7798
0.7798 0.2202 0.7798
0.7798 0.2202 0.2202
0.7798 0.7798 0.2202
0.2202 0.7798 0.7798
0.2202 0.7798 0.2202
0.2500 0.2500 0.2500
0.7500 0.7500 0.7500
0.5000 0.5000 0.5000
0.0000 0.0000 0.0000
```

Total energy in eV/atom: -4.208
Spin magnetization in μB per formula unit: 0.000
DOS(E_F) in states/eV per cell: 0.00


Entry 14:
Material: RbTiS2
Method: DFT, PBE-GGA
State: relaxed

Cell and atoms, written as POSCAR:
```
RbTiS2
1.0
-2.2760 -2.7413 1.9184
2.6281 -1.1831 -2.8405
5.5014 -0.7785 5.4143
Ti S Rb
1 2 1
direct
0.3333 0.6667 0.4338
0.3333 0.6667 0.7129
0.6667 0.3333 0.3219
0.0000 0.0000 0.9865
```

Total energy in eV/atom: -5.323
Spin magnetization in μB per formula unit: 1.000
DOS(E_F) in states/eV per cell: 9.62


Entry 15:
Material: Tb5NdDy3
Method: DFT, PBE-GGA
State: relaxed

Cell and atoms, written as POSCAR:
```
Tb5NdDy3
1.0
9.0521 1.8111 1.3249
4.2199 8.2105 1.3249
5.7817 4.3657 10.5693
Nd Dy Tb
2 6 10
direct
0.1063 0.1063 0.1302
0.8937 0.8937 0.8698
0.0000 0.0000 0.0000
0.1664 0.1664 0.6591
0.3039 0.3039 0.3147
0.8336 0.8336 0.3409
0.0000 0.0000 0.5000
0.6961 0.6961 0.6853
0.0794 0.4898 0.7792
0.6805 0.3195 0.0000
0.4423 0.4423 0.4324
0.5102 0.9206 0.2208
0.6298 0.6298 0.0701
0.9206 0.5102 0.2208
0.4898 0.0794 0.7792
0.3702 0.3702 0.9299
0.5577 0.5577 0.5676
0.3195 0.6805 0.0000
```

Formation energy from the elements in meV/atom: 413
Polymorph energy (0 for the lowest one) in eV/f.u.: 1.034
Total energy in eV/atom: -4.223
Spin magnetization in μB per formula unit: 0.000
DOS(E_F) in states/eV per cell: 26.92


Entry 16:
Material: Nd3ErHg12
Method: DFT, PBE-GGA
State: relaxed

Cell and atoms, written as POSCAR:
```
Nd3ErHg12
1.0
4.6569 0.0000 0.0000
0.0000 4.6569 0.0000
0.0000 0.0000 18.8862
Hg Nd Er
12 3 1
direct
0.5000 0.0000 0.8801
0.5000 0.5000 0.5000
0.0000 0.5000 0.8801
0.5000 0.0000 0.6270
0.0000 0.5000 0.3730
0.0000 0.5000 0.6270
0.5000 0.5000 0.7541
0.5000 0.0000 0.1199
0.5000 0.0000 0.3730
0.0000 0.5000 0.1199
0.5000 0.5000 0.0000
0.5000 0.5000 0.2459
0.0000 0.0000 0.2453
0.0000 0.0000 0.7547
0.0000 0.0000 0.5000
0.0000 0.0000 0.0000
```

Formation energy from the elements in meV/atom: -334
Total energy in eV/atom: -1.740
Spin magnetization in μB per formula unit: 0.000
DOS(E_F) in states/eV per cell: 13.89


Entry 17:
Material: NaRuC2
Method: DFT, PBE-GGA
State: relaxed

Cell and atoms, written as POSCAR:
```
NaRuC2
1.0
1.0485 -2.4710 2.7318
-2.0568 -3.1738 0.6033
1.4313 -3.4205 -0.9587
C Na Ru
2 1 1
direct
0.7500 0.7500 0.7500
0.2500 0.2500 0.2500
0.0000 0.0000 0.0000
0.5000 0.5000 0.5000
```

Formation energy from the elements in meV/atom: 1732
Polymorph energy (0 for the lowest one) in eV/f.u.: 3.618
Total energy in eV/atom: -5.528
Spin magnetization in μB per formula unit: 0.000
DOS(E_F) in states/eV per cell: 4.17


Entry 18:
Material: DyScAg6
Method: DFT, PBE-GGA
State: relaxed

Cell and atoms, written as POSCAR:
```
DyScAg6
1.0
-2.8876 1.4492 -2.8992
-0.2997 -2.7745 -4.3382
-6.7474 -4.1960 1.3732
Ag Dy Sc
6 1 1
direct
0.2467 0.8722 0.6345
0.7533 0.1278 0.3655
0.5032 0.2384 0.7553
0.7480 0.6221 0.8819
0.2520 0.3779 0.1181
0.4968 0.7616 0.2447
0.0000 0.5000 0.5000
0.0000 0.0000 0.0000
```

Formation energy from the elements in meV/atom: -194
Total energy in eV/atom: -3.699
Spin magnetization in μB per formula unit: 0.000
DOS(E_F) in states/eV per cell: 5.26


Entry 19:
Material: Ca2YThSe4
Method: DFT, PBE-GGA
State: relaxed

Cell and atoms, written as POSCAR:
```
Ca2YThSe4
1.0
-3.0335 2.3340 1.4768
-3.0963 0.0460 -6.4332
-2.5836 -5.7712 3.8143
Se Th Ca Y
4 1 2 1
direct
0.5000 0.2449 0.2499
0.5000 0.7551 0.7501
0.0000 0.2427 0.7438
0.0000 0.7573 0.2562
0.5000 0.5000 0.0000
0.0000 0.5000 0.5000
0.5000 0.0000 0.5000
0.0000 0.0000 0.0000
```

Total energy in eV/atom: -5.756
Spin magnetization in μB per formula unit: 0.000
DOS(E_F) in states/eV per cell: 4.34


Entry 20:
Material: Y3UTl4S8
Method: DFT, PBE-GGA
State: relaxed

Cell and atoms, written as POSCAR:
```
Y3UTl4S8
1.0
8.0764 0.0000 0.0000
0.0000 8.8604 0.5500
-4.0382 -4.0370 5.7113
S Y Tl U
8 3 4 1
direct
0.7322 0.6966 0.4645
0.7335 0.6976 0.9656
0.2665 0.3024 0.0344
0.7679 0.3025 0.5358
0.2678 0.3034 0.5355
0.2321 0.6975 0.4642
0.2321 0.6976 0.9656
0.7679 0.3024 0.0344
0.5000 0.5000 0.0000
0.0000 0.5000 0.5000
0.5000 0.5000 0.5000
0.5000 0.0000 0.5000
0.0000 0.0000 0.5000
0.5000 0.0000 0.0000
0.0000 0.0000 0.0000
0.0000 0.5000 0.0000
```

Total energy in eV/atom: -5.932
Spin magnetization in μB per formula unit: 3.015
DOS(E_F) in states/eV per cell: 8.41


Entry 21:
Material: LaTcHg2
Method: DFT, PBE-GGA
State: relaxed

Cell and atoms, written as POSCAR:
```
LaTcHg2
1.0
-3.9182 -1.4685 -0.8356
1.5951 -3.9108 -0.6069
-2.5758 -4.8979 9.7912
Hg Tc La
4 2 2
direct
0.1612 0.6250 0.2500
0.5888 0.1250 0.2500
0.3750 0.4112 0.7500
0.8750 0.8388 0.7500
0.2500 0.7500 0.5000
0.5000 0.5000 0.0000
0.0000 0.0000 0.0000
0.7500 0.2500 0.5000
```

Formation energy from the elements in meV/atom: 348
Polymorph energy (0 for the lowest one) in eV/f.u.: 0.864
Total energy in eV/atom: -3.626
Spin magnetization in μB per formula unit: 0.987
DOS(E_F) in states/eV per cell: 4.81


Entry 22:
Material: KRe
Method: DFT, PBE-GGA
State: relaxed

Cell and atoms, written as POSCAR:
```
KRe
1.0
-1.4798 10.6209 -5.7867
-3.9603 9.3526 -6.7323
-3.9212 10.7643 -4.1514
K Re
2 2
direct
0.9856 0.9856 0.9856
0.7644 0.7644 0.7644
0.5140 0.5140 0.5140
0.2360 0.2360 0.2360
```

Formation energy from the elements in meV/atom: 1091
Polymorph energy (0 for the lowest one) in eV/f.u.: 0.520
Total energy in eV/atom: -5.682
Spin magnetization in μB per formula unit: 0.001
DOS(E_F) in states/eV per cell: 1.91